[1]
! LuScO3 | the Alexandria database | PBE | optimized geometry; values from VASP
&SYSTEM
  ibrav = 0, nat = 30, ntyp = 3
/
ATOMIC_SPECIES
Lu 174.97 Lu.upf
Sc 44.96 Sc.upf
O 16.00 O.upf
CELL_PARAMETERS angstrom
6.106 0.000 0.000
-3.053 5.288 0.000
0.000 0.000 12.126
ATOMIC_POSITIONS angstrom
Lu 0.000 0.000 0.000
Lu 0.000 0.000 6.063
Lu 0.000 3.525 5.601
Lu 0.000 3.525 11.664
Lu 3.053 1.763 5.601
Lu 3.053 1.763 11.664
Sc -1.018 1.763 2.762
Sc -2.035 3.524 8.825
Sc 2.036 0.000 2.762
Sc 1.018 1.763 8.825
Sc 4.070 0.000 8.825
Sc 2.035 3.524 2.762
O 0.000 0.000 2.412
O 0.000 0.000 8.475
O -0.936 1.621 4.825
O -1.103 1.911 0.721
O -1.950 3.377 6.783
O -2.117 3.667 10.888
O 1.872 0.000 4.825
O 0.936 1.621 10.888
O 0.000 3.525 3.038
O 0.000 3.525 9.100
O 2.206 0.000 0.721
O 1.103 1.911 6.783
O 3.899 0.000 6.783
O 1.950 3.377 0.721
O 3.053 1.763 3.038
O 3.053 1.763 9.100
O 4.234 0.000 10.888
O 2.117 3.667 4.825
! Raw formation energy = -3.59 eV/atom
! D(E_F) = 0.000 states/eV/atom

[2]
! Lu2ScO | the Alexandria database | PBE | optimized geometry; values from VASP
&SYSTEM
  ibrav = 0, nat = 4, ntyp = 3
/
ATOMIC_SPECIES
Lu 174.97 Lu.upf
Sc 44.96 Sc.upf
O 16.00 O.upf
CELL_PARAMETERS angstrom
3.079 0.000 0.000
0.000 3.079 0.000
0.000 0.000 8.225
ATOMIC_POSITIONS angstrom
Lu 0.000 0.000 1.531
Lu 0.000 0.000 6.693
Sc 1.540 1.540 4.112
O 1.540 1.540 0.000
! Raw formation energy = -0.87 eV/atom
! D(E_F) = 1.501 states/eV/atom
! Polymorph energy (0 for the lowest one) = 2.03 eV/f.u.